Below is a relaxed structure of CsAgPdCl6, with properties calculated at the GGA-PBE level.

Values from the calculation:
ρ = 3.05 g/cm³
size of the total moment = 0.00 μB per formula unit
total DFT energy (no corrections) = -2.9866 eV per atom

Unit cell a=6.858 b=6.859 c=7.473 alpha=90.02 beta=90.00 gamma=59.99
Positions (direct):
1 Cs 0.000 0.000 0.000
2 Ag 0.667 0.667 0.500
3 Pd 0.333 0.333 0.500
4 Cl 0.044 0.351 0.318
5 Cl 0.351 0.044 0.681
6 Cl 0.605 0.351 0.682
7 Cl 0.044 0.605 0.682
8 Cl 0.351 0.605 0.319
9 Cl 0.605 0.044 0.318


Below is a relaxed structure of CsPmAgCl6, with properties calculated at the GGA-PBE level.

Values from the calculation:
ρ = 2.97 g/cm³
size of the total moment = 1.06 μB per formula unit
total DFT energy (no corrections) = -3.7492 eV per atom

Unit cell a=7.362 b=6.923 c=7.782 alpha=87.86 beta=85.99 gamma=57.86
Positions (direct):
1 Cs 0.018 0.965 0.000
2 Pm 0.680 0.639 0.500
3 Ag 0.335 0.330 0.500
4 Cl 0.983 0.388 0.261
5 Cl 0.372 0.020 0.696
6 Cl 0.629 0.389 0.739
7 Cl 0.006 0.625 0.672
8 Cl 0.369 0.624 0.328
9 Cl 0.608 0.020 0.304


Which formula does entry 1 have? CsAgPdCl6


Number 2 is which compound? CsPmAgCl6